# LaTc2As

LaTc2As after structural relaxation (PBE, the Alexandria database).

```
LaTc2As
1.0
-2.226 -0.556 -3.570
-4.179 -0.714 0.194
-3.066 4.952 -1.383
As Tc La
1 2 1
Direct
0.536 0.536 0.391 As
0.951 0.951 0.146 Tc
0.260 0.260 0.221 Tc
0.752 0.752 0.742 La
```

Properties
Total magnetic moment: 0.00 μB per formula unit
Density of states at the Fermi level: 1.4 states/eV per cell
Formation energy: -0.42 eV per atom
Total DFT energy (no corrections): -32.001 eV per cell
Space group: R3m